#i
VASP calculation (PBE) on a relaxed PmYZr crystal.

Lattice parameters (Å, degrees): 3.4805 3.4805 16.9477 95.92 95.92 59.97
With the nearest neighbours (Å) after each atom.
Fractional positions:
1 Pm 0.0000 0.0000 0.0000  3 Zr 3.40, 6 Pm 3.48, 3 Y 3.61-3.62
2 Pm 0.2169 0.2169 0.6446  6 Pm 3.48, 6 Y 3.58-3.64
3 Y 0.4888 0.4888 0.4645  3 Zr 3.34, 6 Y 3.48, 3 Pm 3.63-3.64
4 Y 0.6081 0.6081 0.8213  6 Y 3.48, 6 Pm 3.58-3.62
5 Zr 0.1022 0.1022 0.3060  9 Zr 3.13-3.48, 3 Y 3.34
6 Zr 0.3873 0.3873 0.1632  9 Zr 3.13-3.48, 3 Pm 3.40

## Properties
D(E_F) ... 1.41 states/eV/atom


#ii
VASP calculation (PBE) on a relaxed PmYZr crystal.

Lattice parameters (Å, degrees): 7.8875 7.8875 7.8875 154.93 154.93 35.75
With the nearest neighbours (Å) after each atom.
Fractional positions:
1 Pm 0.0000 0.0000 0.0000  4 Zr 3.39, 4 Pm 3.42, 4 Y 3.74
2 Y 0.6895 0.6895 0.0000  4 Zr 3.33, 4 Y 3.42
3 Zr 0.3419 0.3419 0.0000  4 Y 3.33, 4 Pm 3.39, 4 Zr 3.42

## Properties
D(E_F) ... 1.52 states/eV/atom


In terms of stability, #i leads; the second structure lies 13 meV per atom higher.


#i
VASP calculation (PBE) on a relaxed Pm4Zn crystal.

Lattice parameters (Å, degrees): 11.6574 11.6574 11.6574 161.91 161.91 25.70
With the nearest neighbours (Å) after each atom.
Fractional positions:
1 Pm 0.0795 0.0795 0.0000  4 Zn 3.16
2 Pm 0.3059 0.3059 0.0000  12 Pm 3.63-3.67
3 Pm 0.6941 0.6941 0.0000  12 Pm 3.63-3.67
4 Pm 0.9205 0.9205 0.0000  4 Zn 3.16
5 Zn 0.5000 0.5000 0.0000  8 Pm 3.16

## Properties
D(E_F) ... 1.12 states/eV/atom


#ii
VASP calculation (PBE) on a relaxed Pm4Zn crystal.

Lattice parameters (Å, degrees): 8.2692 6.9630 9.7798 56.21 44.41 79.38
With the nearest neighbours (Å) after each atom.
Fractional positions:
1 Pm 0.0414 0.9586 0.1808  2 Zn 3.21-3.22, 6 Pm 3.33-3.53
2 Pm 0.0433 0.5103 0.8453  2 Zn 3.12-3.16, 3 Pm 3.33-3.44
3 Pm 0.0692 0.4308 0.2086  2 Zn 3.21-3.22, 6 Pm 3.33-3.53
4 Pm 0.4047 0.6489 0.2067  2 Zn 3.12-3.16, 3 Pm 3.33-3.44
5 Pm 0.4308 0.0692 0.2914  2 Zn 3.21-3.22, 6 Pm 3.33-3.53
6 Pm 0.5103 0.0433 0.6011  2 Zn 3.12-3.16, 3 Pm 3.33-3.44
7 Pm 0.6489 0.4047 0.7397  2 Zn 3.12-3.16, 3 Pm 3.33-3.44
8 Pm 0.9586 0.0414 0.8192  2 Zn 3.21-3.22, 6 Pm 3.33-3.53
9 Zn 0.6007 0.6007 0.3993  8 Pm 3.12-3.22
10 Zn 0.8507 0.8507 0.6493  8 Pm 3.12-3.22

## Properties
D(E_F) ... 1.13 states/eV/atom


In terms of stability, #i leads; the second structure lies 90 meV per atom higher.


#i
VASP calculation (PBE) on a relaxed PmZrZn crystal.

Lattice parameters (Å, degrees): 6.2578 6.2578 6.2578 74.33 74.33 74.33
With the nearest neighbours (Å) after each atom.
Fractional positions:
1 Pm 0.0547 0.2897 0.6556  2 Zn 2.89-3.09, 1 Zr 3.06
2 Pm 0.2897 0.6556 0.0547  2 Zn 2.89-3.09, 1 Zr 3.06
3 Pm 0.6556 0.0547 0.2897  2 Zn 2.89-3.09, 1 Zr 3.06
4 Zr 0.0943 0.8170 0.5763  3 Zn 2.78-2.91, 1 Pm 3.06
5 Zr 0.5763 0.0943 0.8170  3 Zn 2.78-2.91, 1 Pm 3.06
6 Zr 0.8170 0.5763 0.0943  3 Zn 2.78-2.91, 1 Pm 3.06
7 Zn 0.1603 0.1603 0.1603  3 Zr 2.91, 3 Pm 3.24
8 Zn 0.4874 0.4874 0.4874  1 Zn 2.45
9 Zn 0.6695 0.6695 0.6695  1 Zn 2.45

## Properties
D(E_F) ... 1.31 states/eV/atom


#ii
VASP calculation (PBE) on a relaxed PmZrZn crystal.

Lattice parameters (Å, degrees): 6.5141 6.5141 6.5141 149.39 149.39 43.84
With the nearest neighbours (Å) after each atom.
Fractional positions:
1 Pm 0.0000 0.0000 0.0000  4 Zn 3.24, 4 Zr 3.37, 4 Pm 3.44
2 Zr 0.3070 0.3070 0.0000  4 Zn 2.89
3 Zn 0.6771 0.6771 0.0000  4 Zr 2.89, 4 Pm 3.24

## Properties
D(E_F) ... 0.70 states/eV/atom


#iii
VASP calculation (PBE) on a relaxed PmZrZn crystal.

Lattice parameters (Å, degrees): 4.9096 4.9096 3.5045 90.00 90.00 120.00
With the nearest neighbours (Å) after each atom.
Fractional positions:
1 Pm 0.0000 0.0000 0.0000  6 Zn 3.32-3.34, 6 Zr 3.33-3.34, 2 Pm 3.50
2 Zr 0.3333 0.6667 0.4980  3 Zn 2.83
3 Zn 0.6667 0.3333 0.5051  3 Zr 2.83

## Properties
D(E_F) ... 0.48 states/eV/atom


In terms of stability, #ii leads; the second structure lies 161 meV per atom higher.


#i
VASP calculation (PBE) on a relaxed PmZrZn2 crystal.

Lattice parameters (Å, degrees): 9.0770 9.0770 9.0770 22.04 22.04 22.04
With the nearest neighbours (Å) after each atom.
Fractional positions:
1 Pm 0.0000 0.0000 0.0000  6 Zn 3.11, 6 Pm 3.47
2 Zr 0.5000 0.5000 0.5000  6 Zn 2.86
3 Zn 0.2436 0.2436 0.2436  3 Zr 2.86, 3 Pm 3.11
4 Zn 0.7564 0.7564 0.7564  3 Zr 2.86, 3 Pm 3.11

## Properties
D(E_F) ... 1.04 states/eV/atom


#ii
VASP calculation (PBE) on a relaxed PmZrZn2 crystal.

Lattice parameters (Å, degrees): 3.4893 3.4893 7.0011 90.00 90.00 90.00
With the nearest neighbours (Å) after each atom.
Fractional positions:
1 Pm 0.0000 0.0000 0.0000  8 Zn 3.17, 4 Pm 3.49, 2 Zr 3.50
2 Zr 0.0000 0.0000 0.5000  8 Zn 2.89
3 Zn 0.5000 0.5000 0.2841  4 Zr 2.89, 1 Zn 3.02, 4 Pm 3.17
4 Zn 0.5000 0.5000 0.7159  4 Zr 2.89, 1 Zn 3.02, 4 Pm 3.17

## Properties
D(E_F) ... 0.86 states/eV/atom


#iii
VASP calculation (PBE) on a relaxed PmZrZn2 crystal.

Lattice parameters (Å, degrees): 4.9455 4.9455 4.9455 60.00 60.00 60.00
With the nearest neighbours (Å) after each atom.
Fractional positions:
1 Pm 0.0000 0.0000 0.0000  8 Zn 3.03
2 Zr 0.5000 0.5000 0.5000  8 Zn 3.03
3 Zn 0.2500 0.2500 0.2500  4 Zr 3.03, 4 Pm 3.03
4 Zn 0.7500 0.7500 0.7500  4 Zr 3.03, 4 Pm 3.03

## Properties
D(E_F) ... 1.43 states/eV/atom


In terms of stability, #ii leads; the second structure lies 64 meV per atom higher.


#i
VASP calculation (PBE) on a relaxed Pm3Zr crystal.

Lattice parameters (Å, degrees): 5.5791 5.5791 5.5791 60.00 60.00 60.00
With the nearest neighbours (Å) after each atom.
Fractional positions:
1 Pm 0.0000 0.0000 0.0000  8 Pm 3.42
2 Pm 0.2500 0.2500 0.2500  4 Zr 3.42, 4 Pm 3.42
3 Pm 0.7500 0.7500 0.7500  4 Pm 3.42, 4 Zr 3.42
4 Zr 0.5000 0.5000 0.5000  8 Pm 3.42

## Properties
D(E_F) ... 2.07 states/eV/atom


#ii
VASP calculation (PBE) on a relaxed Pm3Zr crystal.

Lattice parameters (Å, degrees): 7.1464 7.1464 5.6597 90.00 90.00 120.00
With the nearest neighbours (Å) after each atom.
Fractional positions:
1 Pm 0.1723 0.3445 0.2500  8 Pm 3.45-3.69, 4 Zr 3.46-3.57
2 Pm 0.1723 0.8277 0.2500  8 Pm 3.45-3.69, 4 Zr 3.46-3.57
3 Pm 0.3445 0.1723 0.7500  8 Pm 3.45-3.69, 4 Zr 3.46-3.57
4 Pm 0.6555 0.8277 0.2500  8 Pm 3.45-3.69, 4 Zr 3.46-3.57
5 Pm 0.8277 0.1723 0.7500  8 Pm 3.45-3.69, 4 Zr 3.46-3.57
6 Pm 0.8277 0.6555 0.7500  8 Pm 3.45-3.69, 4 Zr 3.46-3.57
7 Zr 0.3333 0.6667 0.7500  12 Pm 3.46-3.57
8 Zr 0.6667 0.3333 0.2500  12 Pm 3.46-3.57

## Properties
D(E_F) ... 1.66 states/eV/atom


In terms of stability, #ii leads; the second structure lies 113 meV per atom higher.


#i
VASP calculation (PBE) on a relaxed PmZr3 crystal.

Lattice parameters (Å, degrees): 4.6538 4.6538 4.6538 90.00 90.00 90.00
With the nearest neighbours (Å) after each atom.
Fractional positions:
1 Pm 0.0000 0.0000 0.0000  12 Zr 3.29
2 Zr 0.0000 0.5000 0.5000  8 Zr 3.29, 4 Pm 3.29
3 Zr 0.5000 0.0000 0.5000  8 Zr 3.29, 4 Pm 3.29
4 Zr 0.5000 0.5000 0.0000  8 Zr 3.29, 4 Pm 3.29

## Properties
D(E_F) ... 1.46 states/eV/atom


#ii
VASP calculation (PBE) on a relaxed PmZr3 crystal.

Lattice parameters (Å, degrees): 3.3062 5.3045 5.8309 90.00 90.00 90.00
With the nearest neighbours (Å) after each atom.
Fractional positions:
1 Pm 0.0000 0.0000 0.0000  2 Pm 3.31, 10 Zr 3.31-3.36
2 Zr 0.0000 0.5000 0.6609  10 Zr 3.18-3.53, 2 Pm 3.31
3 Zr 0.5000 0.0000 0.4993  8 Zr 3.19-3.31, 4 Pm 3.35-3.36
4 Zr 0.5000 0.5000 0.1955  8 Zr 3.18-3.53, 4 Pm 3.33

## Properties
D(E_F) ... 1.02 states/eV/atom


In terms of stability, #ii leads; the second structure lies 54 meV per atom higher.